MgZn2N2 | Alexandria via LeMat-Bulk | PBE-GGA | relaxed; SG = P-3m1 (164); uncorrected formation energy = -0.8 eV per formula unit; V = 56 Å³ per cell
1.0
3.346 0.000 0.000
-1.673 2.898 0.000
0.000 0.000 5.822
Mg Zn N
1 2 2
direct
0.000 0.000 0.000
0.333 0.667 0.654
0.667 0.333 0.346
0.333 0.667 0.231
0.667 0.333 0.769



CaVSi2B6 | Alexandria via LeMat-Bulk | PBE-GGA | relaxed; SG = C2/c (15); uncorrected formation energy = 1.8 eV per formula unit; V = 281 Å³ per cell
1.0
4.548 -4.681 0.000
4.548 4.681 0.000
-4.203 0.000 6.610
Ca V Si B
2 2 4 12
direct
0.174 0.826 0.750
0.826 0.174 0.250
0.454 0.546 0.250
0.546 0.454 0.750
0.147 0.380 0.821
0.380 0.147 0.321
0.620 0.853 0.679
0.853 0.620 0.179
0.099 0.467 0.082
0.156 0.527 0.316
0.382 0.556 0.514
0.444 0.618 0.986
0.467 0.099 0.582
0.473 0.844 0.184
0.527 0.156 0.816
0.533 0.901 0.418
0.556 0.382 0.014
0.618 0.444 0.486
0.844 0.473 0.684
0.901 0.533 0.918



K3ThTe6Pb2 | Alexandria via LeMat-Bulk | PBE-GGA | relaxed; SG = C2/m (12); uncorrected formation energy = -10.4 eV per formula unit; V = 465 Å³ per cell
1.0
4.026 -6.972 0.000
4.026 6.972 0.000
-2.682 0.000 8.281
K Th Te Pb
3 1 6 2
direct
0.000 0.000 0.000
0.328 0.672 0.000
0.672 0.328 0.000
0.500 0.500 0.500
0.106 0.429 0.286
0.249 0.249 0.716
0.429 0.106 0.286
0.571 0.894 0.714
0.751 0.751 0.284
0.894 0.571 0.714
0.166 0.834 0.500
0.834 0.166 0.500



LaPt2Br | Alexandria via LeMat-Bulk | PBE-GGA | relaxed; SG = P2/m (10); offset from the most stable computed form = 281 meV per atom; uncorrected formation energy = -2.8 eV per formula unit; V = 102 Å³ per cell
1.0
3.869 0.000 0.000
0.000 4.045 0.000
-0.161 0.000 6.512
La Pt Br
1 2 1
direct
0.000 0.000 0.000
0.496 0.500 0.801
0.504 0.500 0.199
0.500 0.000 0.500



NdDy2Ho | Alexandria via LeMat-Bulk | PBE-GGA | relaxed; SG = Fm-3m (225); offset from the most stable computed form = 132 meV per atom; ΔH_f (0 K) = 0.14 eV per atom; V = 130 Å³ per cell
1.0
0.000 4.026 4.026
4.026 0.000 4.026
4.026 4.026 0.000
Nd Dy Ho
1 2 1
direct
0.000 0.000 0.000
0.250 0.250 0.250
0.750 0.750 0.750
0.500 0.500 0.500



KSi2Ag | Alexandria via LeMat-Bulk | PBE-GGA | relaxed; SG = Pmmm (47); offset from the most stable computed form = 90 meV per atom; uncorrected formation energy = 1.0 eV per formula unit; V = 89 Å³ per cell
1.0
3.001 0.000 0.000
0.000 4.135 0.000
0.000 0.000 7.193
K Si Ag
1 2 1
direct
0.000 0.000 0.000
0.500 0.500 0.334
0.500 0.500 0.666
0.000 0.000 0.500



Cs5RhCl8 | Alexandria via LeMat-Bulk | PBE-GGA | relaxed; SG = I-4 (82); uncorrected formation energy = -20.4 eV per formula unit; V = 584 Å³ per cell
1.0
-5.094 5.094 5.627
5.094 -5.094 5.627
5.094 5.094 -5.627
Cs Rh Cl
5 1 8
direct
0.000 0.000 0.000
0.267 0.110 0.579
0.312 0.733 0.843
0.531 0.688 0.421
0.890 0.469 0.157
0.750 0.250 0.500
0.004 0.304 0.742
0.207 0.394 0.413
0.207 0.793 0.187
0.562 0.261 0.258
0.606 0.020 0.813
0.696 0.438 0.699
0.739 0.996 0.301
0.980 0.793 0.587



ScSiC | Alexandria via LeMat-Bulk | PBE-GGA | relaxed; SG = R3m (160); offset from the most stable computed form = 0 meV per atom; uncorrected formation energy = -1.1 eV per formula unit; V = 38 Å³ per cell
1.0
1.576 0.910 4.427
-1.576 0.910 4.427
0.000 -1.820 4.427
Sc Si C
1 1 1
direct
0.000 0.000 0.000
0.508 0.508 0.508
0.792 0.792 0.792